No. 1
The following is a PBE calculation of a geometry-optimized Tb2PuRu3 structure, from the Alexandria database.

Values from the calculation:
The value obtained for the formation energy is 0.0676 eV per atom. The density comes out at 11.38 g/cm3. As for the total energy: -8.50 eV/atom. The energy relative to the lowest polymorph listed for this composition is 338 meV per atom. The density of states at the Fermi level comes out at 8.51 states/eV per cell.

Cell and atoms, written as POSCAR:
```
Tb2PuRu3
1.0
-1.6501 2.7843 6.8674
1.6501 -2.7843 6.8674
1.6501 2.7843 -6.8674
Tb Pu Ru
2 1 3
direct
0.1683 0.1683 0.0000
0.8317 0.8317 0.0000
0.5000 0.5000 0.0000
0.0000 0.5000 0.5000
0.3506 0.8506 0.5000
0.6494 0.1494 0.5000
```

---

No. 2
The following is a PBE calculation of a geometry-optimized LaPmCBr structure, from the Alexandria database.

Values from the calculation:
The density comes out at 6.52 g/cm3. As for the total energy: -6.04 eV/atom. The density of states at the Fermi level comes out at 2.10 states/eV per cell. The energy relative to the elements, uncorrected is -899 meV per atom.

Cell and atoms, written as POSCAR:
```
LaPmCBr
1.0
1.9072 1.1011 7.5990
-1.9072 1.1011 7.5990
0.0000 -2.2023 7.5990
La Pm C Br
1 1 1 1
direct
0.0000 0.0000 0.0000
0.2112 0.2112 0.2112
0.6033 0.6033 0.6033
0.7775 0.7775 0.7775
```

---

No. 3
The following is a PBE calculation of a geometry-optimized Dy2AlPb structure, from the Alexandria database.

Values from the calculation:
The value obtained for the formation energy is -0.3688 eV per atom. The density comes out at 8.98 g/cm3. As for the total energy: -4.53 eV/atom. The density of states at the Fermi level comes out at 3.10 states/eV per cell.

Cell and atoms, written as POSCAR:
```
Dy2AlPb
1.0
4.8911 0.0000 0.0000
0.0000 4.8911 0.0000
0.0000 0.0000 4.3204
Dy Al Pb
2 1 1
direct
0.0000 0.5000 0.0000
0.5000 0.0000 0.0000
0.0000 0.0000 0.5000
0.5000 0.5000 0.5000
```

---

density of number 2 (LaPmCBr)?
6.52 g/cm3

---

Which of these has the lowest density?
LaPmCBr